A relaxed Ba8TeAs3Br4 crystal, computed with PBE.

* formation energy from raw total energies: -1.63 eV/atom
* spin magnetization: 0.00 μB/atom
* space group: R-3m (166)
* DFT total energy: -65.29 eV for the cell shown

Lattice parameters (Å, degrees): 9.6728 9.6728 9.6728 60.02 60.02 60.02
Last column: nearest neighbours and their distance in Å.
Element x y z (fractional)
Ba 0.2273 0.7488 0.7488  2 As 3.26, 1 Te 3.41, 3 Br 3.44-3.59
Ba 0.2405 0.2405 0.2405  3 As 3.30, 3 Br 3.56
Ba 0.2512 0.2512 0.7727  2 As 3.26, 1 Te 3.41, 3 Br 3.44-3.59
Ba 0.2512 0.7727 0.2512  2 As 3.26, 1 Te 3.41, 3 Br 3.44-3.59
Ba 0.7488 0.2273 0.7488  2 As 3.26, 1 Te 3.41, 3 Br 3.44-3.59
Ba 0.7488 0.7488 0.2273  2 As 3.26, 1 Te 3.41, 3 Br 3.44-3.59
Ba 0.7595 0.7595 0.7595  3 As 3.30, 3 Br 3.56
Ba 0.7727 0.2512 0.2512  2 As 3.26, 1 Te 3.41, 3 Br 3.44-3.59
Te 0.5000 0.5000 0.5000  6 Ba 3.41
As 0.0000 0.0000 0.5000  6 Ba 3.26-3.30
As 0.0000 0.5000 0.0000  6 Ba 3.26-3.30
As 0.5000 0.0000 0.0000  6 Ba 3.26-3.30
Br 0.0000 0.0000 0.0000  6 Ba 3.44
Br 0.0000 0.5000 0.5000  6 Ba 3.56-3.59
Br 0.5000 0.0000 0.5000  6 Ba 3.56-3.59
Br 0.5000 0.5000 0.0000  6 Ba 3.56-3.59

A relaxed Tb4Sn2Te crystal, computed with PBE.

* formation energy from raw total energies: -0.69 eV/atom
* spin magnetization: 0.00 μB/atom
* space group: P2_1/m (11)
* DFT total energy: -68.93 eV for the cell shown

Lattice parameters (Å, degrees): 6.2093 6.4908 10.2114 90.00 97.87 90.00
Last column: nearest neighbours and their distance in Å.
Element x y z (fractional)
Tb 0.0384 0.2500 0.1619  3 Sn 3.22-3.46, 3 Te 3.24-3.25
Tb 0.1427 0.7500 0.4527  1 Te 2.99, 1 Sn 3.07
Tb 0.4247 0.0066 0.7309  4 Sn 3.10-3.24, 2 Tb 3.16-3.33
Tb 0.4247 0.4934 0.7309  4 Sn 3.10-3.24, 2 Tb 3.16-3.33
Tb 0.5753 0.5066 0.2691  4 Sn 3.10-3.24, 2 Tb 3.16-3.33
Tb 0.5753 0.9934 0.2691  4 Sn 3.10-3.24, 2 Tb 3.16-3.33
Tb 0.8573 0.2500 0.5473  1 Te 2.99, 1 Sn 3.07
Tb 0.9616 0.7500 0.8381  3 Sn 3.22-3.46, 3 Te 3.24-3.25
Sn 0.3074 0.2500 0.4549  9 Tb 3.07-3.42
Sn 0.4952 0.7500 0.9894  6 Tb 3.10-3.46, 2 Sn 3.25
Sn 0.5048 0.2500 0.0106  6 Tb 3.10-3.46, 2 Sn 3.25
Sn 0.6926 0.7500 0.5451  9 Tb 3.07-3.42
Te 0.0330 0.7500 0.1582  4 Tb 2.99-3.25
Te 0.9670 0.2500 0.8418  4 Tb 2.99-3.25

A relaxed Ho3Ga3Ge crystal, computed with PBE.

* energy relative to the elements: -634.9 meV per atom
* spin magnetization: 0.00 μB/atom
* space group: C2/m (12)
* DFT total energy: -63.75 eV for the cell shown

Lattice parameters (Å, degrees): 5.8166 5.8166 14.1000 106.17 106.17 42.85
Last column: nearest neighbours and their distance in Å.
Element x y z (fractional)
Ho 0.0062 0.0062 0.3739  6 Ga 3.02-3.18, 3 Ge 3.11-3.14
Ho 0.1131 0.1131 0.9266  7 Ga 2.98-3.17
Ho 0.2289 0.2289 0.2268  6 Ga 2.99-3.23, 2 Ge 3.01
Ho 0.7711 0.7711 0.7732  6 Ga 2.99-3.23, 2 Ge 3.01
Ho 0.8869 0.8869 0.0734  7 Ga 2.98-3.17
Ho 0.9938 0.9938 0.6261  6 Ga 3.02-3.18, 3 Ge 3.11-3.14
Ga 0.3622 0.3622 0.4584  3 Ge 2.70-2.73, 1 Ga 2.86
Ga 0.3951 0.3951 0.9239  2 Ga 2.60-2.62
Ga 0.4975 0.4975 0.7788  1 Ga 2.60, 1 Ge 2.65
Ga 0.5025 0.5025 0.2212  1 Ga 2.60, 1 Ge 2.65
Ga 0.6049 0.6049 0.0761  2 Ga 2.60-2.62
Ga 0.6378 0.6378 0.5416  3 Ge 2.70-2.73, 1 Ga 2.86
Ge 0.2835 0.2835 0.6254  4 Ga 2.65-2.73
Ge 0.7165 0.7165 0.3746  4 Ga 2.65-2.73

A relaxed ZnCu2Si crystal, computed with PBE.

* formation energy from raw total energies: 0.03 eV/atom
* spin magnetization: 0.00 μB/atom
* space group: Pmm2 (25)
* DFT total energy: -14.79 eV for the cell shown

Lattice parameters (Å, degrees): 2.6721 4.3306 4.4720 90.00 90.00 90.00
Last column: nearest neighbours and their distance in Å.
Element x y z (fractional)
Zn 0.0000 0.0000 0.0000  8 Cu 2.60-2.64, 2 Zn 2.67, 2 Si 2.68
Cu 0.5000 0.0000 0.5021  4 Zn 2.60-2.61, 4 Si 2.63, 4 Cu 2.64-2.67
Cu 0.5000 0.5000 0.8396  4 Si 2.55-2.66, 4 Cu 2.64-2.67, 4 Zn 2.64
Si 0.0000 0.5000 0.3527  8 Cu 2.55-2.66, 2 Si 2.67, 2 Zn 2.68

A relaxed CsTe2Pd2 crystal, computed with PBE.

* formation energy from raw total energies: -0.54 eV/atom
* spin magnetization: 0.00 μB/atom
* space group: P-1 (2)
* DFT total energy: -40.46 eV for the cell shown

Lattice parameters (Å, degrees): 7.1864 7.1927 7.5784 103.54 105.83 117.66
Last column: nearest neighbours and their distance in Å.
Element x y z (fractional)
Cs 0.1253 0.3750 0.2497  6 Te 3.75-4.06, 6 Pd 3.83-4.14
Cs 0.8747 0.6250 0.7503  6 Te 3.75-4.06, 6 Pd 3.83-4.14
Te 0.2200 0.3210 0.7823  4 Pd 2.64-2.84
Te 0.4627 0.0639 0.2830  4 Pd 2.64-2.84
Te 0.5373 0.9361 0.7170  4 Pd 2.64-2.84
Te 0.7800 0.6790 0.2177  4 Pd 2.64-2.84
Pd 0.2134 0.9997 0.5207  4 Te 2.64-2.84
Pd 0.4802 0.1933 0.9792  4 Te 2.64-2.84
Pd 0.5198 0.8067 0.0208  4 Te 2.64-2.84
Pd 0.7866 0.0003 0.4793  4 Te 2.64-2.84

A relaxed LuPuCdIn crystal, computed with PBE.

* energy relative to the elements: -182.3 meV per atom
* spin magnetization: 1.54 μB/atom
* space group: F-43m (216)
* DFT total energy: -23.24 eV for the cell shown

Lattice parameters (Å, degrees): 5.2941 5.2941 5.2941 60.00 60.00 60.00
Last column: nearest neighbours and their distance in Å.
Element x y z (fractional)
Lu 0.0000 0.0000 0.0000  4 Cd 3.24, 4 In 3.24
Pu 0.5000 0.5000 0.5000  4 Cd 3.24, 4 In 3.24
Cd 0.2500 0.2500 0.2500  4 Pu 3.24, 4 Lu 3.24
In 0.7500 0.7500 0.7500  4 Pu 3.24, 4 Lu 3.24

A relaxed CaIn2Pt crystal, computed with PBE.

* energy relative to the elements: -428.0 meV per atom
* spin magnetization: 0.00 μB/atom
* space group: I-4m2 (119)
* DFT total energy: -15.23 eV for the cell shown

Lattice parameters (Å, degrees): 5.2315 5.2315 5.2315 126.84 126.84 78.51
Last column: nearest neighbours and their distance in Å.
Element x y z (fractional)
Ca 0.0000 0.0000 0.0000  8 In 3.10-3.31, 4 Pt 3.10
In 0.2500 0.7500 0.5000  4 In 3.10, 4 Ca 3.10, 4 Pt 3.31
In 0.5000 0.5000 0.0000  4 In 3.10, 4 Pt 3.10, 4 Ca 3.31
Pt 0.7500 0.2500 0.5000  8 In 3.10-3.31, 4 Ca 3.10

A relaxed Na17CdHg11 crystal, computed with PBE.

* energy relative to the elements: -185.7 meV per atom
* spin magnetization: 0.00 μB/atom
* space group: Cm (8)
* DFT total energy: -32.04 eV for the cell shown

Lattice parameters (Å, degrees): 10.1266 10.1266 10.0495 109.28 109.28 109.77
Last column: nearest neighbours and their distance in Å.
Element x y z (fractional)
Na 0.0000 0.0000 0.0000  4 Na 3.32-3.35, 6 Hg 3.42-3.44
Na 0.0000 0.4107 0.0254  5 Hg 3.21-3.38, 7 Na 3.33-3.57
Na 0.0034 0.0034 0.3357  4 Na 3.34-3.38, 1 Cd 3.58, 11 Hg 3.61-3.67
Na 0.0054 0.6708 0.3370  4 Na 3.31-3.38, 5 Hg 3.39-3.41, 1 Cd 3.43
Na 0.2775 0.5897 0.9210  4 Hg 3.20-3.37, 7 Na 3.33-3.57, 1 Cd 3.35
Na 0.3102 0.7193 0.6430  5 Hg 3.20-3.39, 7 Na 3.31-3.56
Na 0.3105 0.3105 0.0538  4 Hg 3.29-3.35, 1 Cd 3.31, 7 Na 3.34-3.57
Na 0.3326 0.3326 0.6679  4 Na 3.33-3.34, 6 Hg 3.42-3.43
Na 0.4102 0.6931 0.3328  4 Hg 3.22-3.36, 7 Na 3.34-3.55, 1 Cd 3.44
Na 0.4107 0.0000 0.0254  5 Hg 3.21-3.38, 7 Na 3.33-3.57
Na 0.5897 0.2775 0.9210  4 Hg 3.20-3.37, 7 Na 3.33-3.57, 1 Cd 3.35
Na 0.5905 0.5905 0.6150  5 Hg 3.22-3.37, 7 Na 3.34-3.55
Na 0.6708 0.0054 0.3370  4 Na 3.31-3.38, 5 Hg 3.39-3.41, 1 Cd 3.43
Na 0.6918 0.9986 0.7425  5 Hg 3.22-3.37, 7 Na 3.32-3.57
Na 0.6931 0.4102 0.3328  4 Hg 3.22-3.36, 7 Na 3.34-3.55, 1 Cd 3.44
Na 0.7193 0.3102 0.6430  5 Hg 3.20-3.39, 7 Na 3.31-3.56
Na 0.9986 0.6918 0.7425  5 Hg 3.22-3.37, 7 Na 3.32-3.57
Cd 0.6334 0.6334 0.1487  3 Hg 2.96-3.08, 1 Na 3.31
Hg 0.0004 0.3766 0.5279  3 Hg 3.02-3.20, 5 Na 3.22-3.36
Hg 0.1828 0.8079 0.1396  3 Hg 3.01-3.20, 4 Na 3.20-3.36
Hg 0.1921 0.9995 0.7104  3 Hg 3.02-3.21, 4 Na 3.21-3.37
Hg 0.1941 0.3762 0.3338  3 Hg 3.02-3.19, 5 Na 3.22-3.37
Hg 0.3762 0.1941 0.3338  3 Hg 3.02-3.19, 5 Na 3.22-3.37
Hg 0.3766 0.0004 0.5279  3 Hg 3.02-3.20, 5 Na 3.22-3.36
Hg 0.6236 0.8184 0.9596  2 Hg 3.01-3.23, 1 Cd 3.08, 5 Na 3.20-3.37
Hg 0.8033 0.8033 0.5077  1 Cd 2.96, 2 Hg 3.21, 3 Na 3.22-3.31
Hg 0.8079 0.1828 0.1396  3 Hg 3.01-3.20, 4 Na 3.20-3.36
Hg 0.8184 0.6236 0.9596  2 Hg 3.01-3.23, 1 Cd 3.08, 5 Na 3.20-3.37
Hg 0.9995 0.1921 0.7104  3 Hg 3.02-3.21, 4 Na 3.21-3.37